Ac2PmIr9: optimized geometry, PBE.

Lattice parameters (Å, degrees): 5.4335 5.4335 9.5578 73.49 73.49 60.00
Last column: nearest neighbours and their distance in Å.
Positions (direct):
1 Ir 0.4242 0.4242 0.2352  7 Ir 2.62-2.85
2 Ir 0.5758 0.0837 0.7648  7 Ir 2.62-2.85
3 Ir 0.0837 0.5758 0.7648  7 Ir 2.62-2.85
4 Ir 0.5758 0.5758 0.7648  7 Ir 2.62-2.85
5 Ir 0.4242 0.9163 0.2352  7 Ir 2.62-2.85
6 Ir 0.3315 0.3315 0.0054  6 Ir 2.62-2.67
7 Ir 0.6685 0.6685 0.9946  6 Ir 2.62-2.67
8 Ir 0.9163 0.4242 0.2352  7 Ir 2.62-2.85
9 Ir 0.5000 0.5000 0.5000  6 Ir 2.85
10 Pm 0.0000 0.0000 0.0000  18 Ir 3.14-3.45
11 Ac 0.8607 0.8607 0.4179  12 Ir 3.18-3.51, 3 Ac 3.47
12 Ac 0.1393 0.1393 0.5821  12 Ir 3.18-3.51, 3 Ac 3.47

Summary:
Uncorrected energy = -0.600 Ry/atom
Formation energy = -0.439 eV/atom
Space-group type = No. 166